(1)
Tm2Al2Fe2C | PBE | optimized geometry

abc: 3.960 5.801 5.763
angles: 73.98 69.90 70.04
Atoms (fractional coordinates):
1 Al 0.838 0.608 0.715
2 Fe 0.807 0.296 0.091
3 C 0.000 0.000 0.000
4 Al 0.162 0.392 0.285
5 Tm 0.446 0.828 0.280
6 Fe 0.193 0.704 0.909
7 Tm 0.554 0.172 0.720

## Properties
Its formation energy is -0.37 eV per atom.



(2)
TmAlFe2C | PBE | optimized geometry

abc: 3.651 5.613 7.100
angles: 90.00 90.00 108.98
Atoms (fractional coordinates):
1 C 0.000 0.000 0.500
2 Fe 0.836 0.671 0.445
3 Fe 0.836 0.671 0.055
4 Fe 0.164 0.329 0.945
5 Tm 0.543 0.085 0.250
6 Fe 0.164 0.329 0.555
7 Al 0.266 0.532 0.250
8 Tm 0.457 0.915 0.750
9 Al 0.734 0.468 0.750
10 C 0.000 0.000 0.000

## Properties
Its formation energy is -0.28 eV per atom.



(3)
AlFe2WC | PBE | optimized geometry

abc: 3.849 3.849 4.136
angles: 90.00 90.00 90.00
Atoms (fractional coordinates):
1 Fe 0.000 0.500 0.000
2 W 0.000 0.000 0.500
3 Fe 0.500 0.000 0.000
4 Al 0.500 0.500 0.500
5 C 0.000 0.000 0.000

## Properties
Its formation energy is 0.00 eV per atom.



(4)
YAlFe2C | PBE | optimized geometry

abc: 3.898 5.614 6.854
angles: 90.00 90.00 110.31
Atoms (fractional coordinates):
1 Fe 0.164 0.328 0.568
2 Fe 0.836 0.672 0.068
3 Al 0.732 0.463 0.750
4 Al 0.268 0.537 0.250
5 C 0.000 0.000 0.500
6 Y 0.450 0.901 0.750
7 Y 0.550 0.099 0.250
8 Fe 0.836 0.672 0.432
9 C 0.000 0.000 0.000
10 Fe 0.164 0.328 0.932

## Properties
Its formation energy is -0.27 eV per atom.



(5)
Y2AlFeC | PBE | optimized geometry

abc: 4.993 4.993 3.687
angles: 90.00 90.00 90.00
Atoms (fractional coordinates):
1 Al 0.500 0.500 0.500
2 Fe 0.000 0.000 0.500
3 Y 0.000 0.500 0.000
4 C 0.000 0.000 0.000
5 Y 0.500 0.000 0.000

## Properties
Its formation energy is -0.32 eV per atom.



(6)
YAl2Fe2C | PBE | optimized geometry

abc: 3.860 3.860 5.563
angles: 90.00 90.00 90.00
Atoms (fractional coordinates):
1 Fe 0.500 0.000 0.000
2 C 0.000 0.000 0.000
3 Fe 0.000 0.500 0.000
4 Al 0.500 0.500 0.265
5 Al 0.500 0.500 0.735
6 Y 0.000 0.000 0.500

## Properties
Its formation energy is -0.32 eV per atom.



(7)
Al2GaC | PBE | optimized geometry

abc: 4.308 4.308 4.308
angles: 60.00 60.00 60.00
Atoms (fractional coordinates):
1 Ga 0.500 0.500 0.500
2 Al 0.750 0.750 0.750
3 Al 0.250 0.250 0.250
4 C 0.000 0.000 0.000

## Properties
Its formation energy is 1.06 eV per atom.



(8)
AlGa2C2 | PBE | optimized geometry

abc: 4.170 4.170 4.875
angles: 64.68 64.68 90.00
Atoms (fractional coordinates):
1 C 0.411 0.411 0.179
2 C 0.589 0.589 0.821
3 Ga 0.250 0.750 0.500
4 Al 0.000 0.000 0.000
5 Ga 0.750 0.250 0.500

## Properties
The energy above the most stable polymorph in this dataset comes out at 0.112 eV per atom. Its formation energy is 1.07 eV per atom.



(9)
Al2GaC | PBE | optimized geometry

abc: 3.120 3.120 7.289
angles: 77.64 77.64 60.00
Atoms (fractional coordinates):
1 Al 0.882 0.882 0.354
2 Al 0.118 0.118 0.646
3 Ga 0.000 0.000 0.000
4 C 0.500 0.500 0.500

## Properties
Its formation energy is 0.02 eV per atom.



(10)
AlGaC | PBE | optimized geometry

abc: 4.749 4.749 4.870
angles: 90.00 90.00 80.77
Atoms (fractional coordinates):
1 C 0.831 0.831 0.500
2 Al 0.034 0.534 0.259
3 Ga 0.645 0.145 0.241
4 C 0.331 0.331 0.500
5 Al 0.534 0.034 0.741
6 Ga 0.145 0.645 0.759

## Properties
Its formation energy is 0.67 eV per atom.



(11)
AlGaC2 | PBE | optimized geometry

abc: 3.894 3.894 3.894
angles: 60.00 60.00 60.00
Atoms (fractional coordinates):
1 Ga 0.500 0.500 0.500
2 C 0.250 0.250 0.250
3 C 0.750 0.750 0.750
4 Al 0.000 0.000 0.000

## Properties
The energy above the most stable polymorph in this dataset comes out at 0.865 eV per atom. Its formation energy is 1.65 eV per atom.



(12)
AlGa2C2 | PBE | optimized geometry

abc: 6.208 6.208 3.504
angles: 90.00 90.00 90.00
Atoms (fractional coordinates):
1 C 0.242 0.742 0.000
2 Al 0.000 0.000 0.000
3 C 0.758 0.258 0.000
4 C 0.258 0.242 0.000
5 Ga 0.640 0.860 0.500
6 Ga 0.360 0.140 0.500
7 Ga 0.140 0.640 0.500
8 Ga 0.860 0.360 0.500
9 C 0.742 0.758 0.000
10 Al 0.500 0.500 0.000

## Properties
The energy above the most stable polymorph in this dataset comes out at 0.000 eV per atom. Its formation energy is 0.96 eV per atom.



(13)
AlGaC2 | PBE | optimized geometry

abc: 4.321 4.321 6.146
angles: 69.42 69.42 90.00
Atoms (fractional coordinates):
1 C 0.375 0.380 0.750
2 C 0.620 0.125 0.250
3 Al 0.500 0.500 0.000
4 C 0.130 0.625 0.250
5 Ga 0.750 0.250 0.500
6 C 0.875 0.870 0.750
7 Al 0.250 0.750 0.500
8 Ga 0.000 0.000 0.000

## Properties
The energy above the most stable polymorph in this dataset comes out at 0.000 eV per atom. Its formation energy is 0.78 eV per atom.



(14)
Al2GaC | PBE | optimized geometry

abc: 5.634 5.634 5.876
angles: 61.35 61.35 90.00
Atoms (fractional coordinates):
1 C 0.250 0.750 0.500
2 C 0.500 0.500 0.000
3 Al 0.875 0.770 0.750
4 Al 0.520 0.125 0.250
5 Ga 0.750 0.250 0.500
6 Al 0.375 0.480 0.750
7 Ga 0.000 0.000 0.000
8 Al 0.230 0.625 0.250

## Properties
Its formation energy is 0.26 eV per atom.



(15)
AlGaHg2C | PBE | optimized geometry

abc: 5.215 3.686 5.215
angles: 90.00 90.00 90.00
Atoms (fractional coordinates):
1 C 0.000 0.000 0.000
2 Al 0.000 0.500 0.000
3 Hg 0.000 0.000 0.500
4 Hg 0.500 0.000 0.000
5 Ga 0.500 0.500 0.500

## Properties
Its formation energy is 0.67 eV per atom.



(16)
AlGaPbC2 | PBE | optimized geometry

abc: 4.428 5.795 4.428
angles: 90.00 90.00 90.00
Atoms (fractional coordinates):
1 Pb 0.000 0.000 0.000
2 Ga 0.000 0.500 0.000
3 C 0.500 0.000 0.000
4 Al 0.500 0.500 0.500
5 C 0.000 0.000 0.500

## Properties
Its formation energy is 2.47 eV per atom.



(17)
AlGaReC2 | PBE | optimized geometry

abc: 4.009 5.081 4.009
angles: 90.00 90.00 90.00
Atoms (fractional coordinates):
1 C 0.000 0.000 0.500
2 Re 0.000 0.000 0.000
3 C 0.500 0.000 0.000
4 Al 0.000 0.500 0.000
5 Ga 0.500 0.500 0.500

## Properties
Its formation energy is 1.14 eV per atom.



(18)
Al2GaSbC | PBE | optimized geometry

abc: 4.091 4.091 5.144
angles: 90.00 90.00 90.00
Atoms (fractional coordinates):
1 C 0.000 0.000 0.000
2 Ga 0.500 0.500 0.500
3 Sb 0.000 0.000 0.500
4 Al 0.500 0.000 0.000
5 Al 0.000 0.500 0.000

## Properties
As for the formation energy from raw total energies: 2.5 eV per formula unit.



(19)
Sc2AlGaC | PBE | optimized geometry

abc: 4.545 4.545 3.933
angles: 90.00 90.00 90.00
Atoms (fractional coordinates):
1 C 0.000 0.000 0.000
2 Al 0.000 0.000 0.500
3 Sc 0.000 0.500 0.000
4 Ga 0.500 0.500 0.500
5 Sc 0.500 0.000 0.000

## Properties
Its formation energy is -0.53 eV per atom.



(20)
Al2GaSiC | PBE | optimized geometry

abc: 3.992 4.446 3.992
angles: 90.00 90.00 90.00
Atoms (fractional coordinates):
1 Al 0.500 0.000 0.000
2 Si 0.000 0.500 0.000
3 Al 0.000 0.000 0.500
4 Ga 0.500 0.500 0.500
5 C 0.000 0.000 0.000

## Properties
As for the formation energy from raw total energies: 2.4 eV per formula unit.



(21)
Al2TlGaC | PBE | optimized geometry

abc: 5.450 3.620 5.450
angles: 90.00 90.00 90.00
Atoms (fractional coordinates):
1 Ga 0.000 0.000 0.000
2 Tl 0.500 0.500 0.500
3 Al 0.500 0.000 0.000
4 Al 0.000 0.000 0.500
5 C 0.000 0.500 0.000

## Properties
Its formation energy is 1.08 eV per atom.



(22)
Y2AlGaC | PBE | optimized geometry

abc: 4.983 4.983 3.924
angles: 90.00 90.00 90.00
Atoms (fractional coordinates):
1 C 0.000 0.000 0.000
2 Ga 0.500 0.500 0.500
3 Y 0.500 0.000 0.000
4 Al 0.000 0.000 0.500
5 Y 0.000 0.500 0.000

## Properties
Its formation energy is -0.45 eV per atom.



(23)
Gd3AlC | PBE | optimized geometry

abc: 4.939 4.939 4.939
angles: 90.00 90.00 90.00
Atoms (fractional coordinates):
1 Al 0.000 0.000 0.000
2 C 0.500 0.500 0.500
3 Gd 0.000 0.500 0.500
4 Gd 0.500 0.000 0.500
5 Gd 0.500 0.500 0.000

## Properties
Its formation energy is -0.34 eV per atom.



(24)
Gd2AlC | PBE | optimized geometry

abc: 3.591 3.591 8.244
angles: 77.42 77.42 60.00
Atoms (fractional coordinates):
1 Gd 0.275 0.275 0.174
2 C 0.000 0.000 0.000
3 Al 0.500 0.500 0.500
4 Gd 0.725 0.725 0.826

## Properties
Its formation energy is -0.20 eV per atom.



(25)
Al2GeC2 | PBE | optimized geometry

abc: 6.077 6.077 3.049
angles: 90.00 90.00 90.00
Atoms (fractional coordinates):
1 C 0.684 0.184 0.000
2 C 0.316 0.816 0.000
3 Al 0.852 0.352 0.500
4 Ge 0.000 0.000 0.000
5 C 0.816 0.684 0.000
6 C 0.184 0.316 0.000
7 Ge 0.500 0.500 0.000
8 Al 0.648 0.852 0.500
9 Al 0.148 0.648 0.500
10 Al 0.352 0.148 0.500

## Properties
The energy above the most stable polymorph in this dataset comes out at 0.200 eV per atom. Its formation energy is 0.96 eV per atom.



(26)
AlGeC2 | PBE | optimized geometry

abc: 4.671 4.671 5.612
angles: 65.41 65.41 90.00
Atoms (fractional coordinates):
1 C 0.875 0.882 0.750
2 Al 0.500 0.500 0.000
3 C 0.632 0.125 0.250
4 C 0.375 0.368 0.750
5 Al 0.250 0.750 0.500
6 Ge 0.000 0.000 0.000
7 C 0.118 0.625 0.250
8 Ge 0.750 0.250 0.500

## Properties
The energy above the most stable polymorph in this dataset comes out at 0.000 eV per atom. Its formation energy is 0.54 eV per atom.



(27)
Al2GeC2 | PBE | optimized geometry

abc: 3.647 3.647 5.673
angles: 71.25 71.25 90.00
Atoms (fractional coordinates):
1 C 0.337 0.337 0.326
2 Al 0.750 0.250 0.500
3 C 0.663 0.663 0.674
4 Ge 0.000 0.000 0.000
5 Al 0.250 0.750 0.500

## Properties
The energy above the most stable polymorph in this dataset comes out at 0.000 eV per atom. Its formation energy is 0.76 eV per atom.



Number 1: E -6.456 eV/atom, N(E_F) 3.86 states/eV per cell. Number 2: E -7.152 eV/atom, N(E_F) 6.35 states/eV per cell. Number 3: E -8.573 eV/atom, N(E_F) 4.06 states/eV per cell. Number 4: E -7.537 eV/atom, N(E_F) 8.66 states/eV per cell. Number 5: E -7.189 eV/atom, N(E_F) 2.29 states/eV per cell. Number 6: E -7.008 eV/atom, N(E_F) 2.66 states/eV per cell. Number 7: E -3.872 eV/atom, N(E_F) 1.56 states/eV per cell. Number 8: E -4.577 eV/atom, N(E_F) 3.01 states/eV per cell. Number 9: E -4.918 eV/atom, N(E_F) 0.15 states/eV per cell. Number 10: E -4.657 eV/atom, N(E_F) 1.70 states/eV per cell. Number 11: E -4.655 eV/atom, N(E_F) 1.88 states/eV per cell. Number 12: E -4.689 eV/atom, N(E_F) 3.58 states/eV per cell. Number 13: E -5.519 eV/atom, N(E_F) 3.47 states/eV per cell. Number 14: E -4.673 eV/atom, N(E_F) 2.66 states/eV per cell. Number 15: E -2.645 eV/atom, N(E_F) 1.82 states/eV per cell. Number 16: E -3.315 eV/atom, N(E_F) 3.17 states/eV per cell. Number 17: E -6.395 eV/atom, N(E_F) 2.94 states/eV per cell. Number 18: E -4.277 eV/atom, N(E_F) 1.45 states/eV per cell. Number 19: E -6.259 eV/atom, N(E_F) 0.84 states/eV per cell. Number 20: E -4.556 eV/atom, N(E_F) 1.95 states/eV per cell. Number 21: E -3.336 eV/atom, N(E_F) 2.48 states/eV per cell. Number 22: E -6.232 eV/atom, N(E_F) 0.80 states/eV per cell. Number 23: E -11.382 eV/atom, N(E_F) 2.88 states/eV per cell. Number 24: E -10.482 eV/atom, N(E_F) 2.29 states/eV per cell. Number 25: E -5.150 eV/atom, N(E_F) 2.28 states/eV per cell. Number 26: E -6.166 eV/atom, N(E_F) 4.54 states/eV per cell. Number 27: E -5.350 eV/atom, N(E_F) 0.21 states/eV per cell.